(1)
The following is a DFT calculation (PBE-GGA) of a relaxed AlCu2Cl crystal.

## Properties
Excess energy over the best structure of this formula in the dataset ... 122 kJ/mol of formula units
Formation energy from raw total energies ... 129.4 meV/atom
Final energy ... -26.53 eV per cell

Cell and atoms, written as POSCAR:
```
AlCu2Cl
1.0
-3.343 5.123 0.883
-4.315 -3.320 2.926
-1.955 1.526 5.376
Cu Al Cl
4 2 2
Direct
0.121 0.625 0.250
0.375 0.371 0.750
0.875 0.879 0.750
0.629 0.125 0.250
0.500 0.500 0.000
0.250 0.750 0.500
0.750 0.250 0.500
0.000 0.000 0.000
```

---

(2)
The following is a DFT calculation (PBE-GGA) of a relaxed AlCu2Cl crystal.

## Properties
Excess energy over the best structure of this formula in the dataset ... 121 kJ/mol of formula units
Formation energy from raw total energies ... 125.3 meV/atom
Final energy ... -13.28 eV per cell

Cell and atoms, written as POSCAR:
```
AlCu2Cl
1.0
-0.285 2.902 -0.183
-5.213 -0.479 0.515
-3.614 -0.076 4.421
Cl Cu Al
1 2 1
Direct
0.000 0.000 0.500
0.500 0.500 0.000
0.000 0.000 0.000
0.500 0.500 0.500
```

---

(3)
The following is a DFT calculation (PBE-GGA) of a relaxed AlCu2Cl crystal.

## Properties
Excess energy over the best structure of this formula in the dataset ... 182 kJ/mol of formula units
Formation energy from raw total energies ... 283.2 meV/atom
Final energy ... -12.65 eV per cell

Cell and atoms, written as POSCAR:
```
AlCu2Cl
1.0
5.395 0.096 0.000
2.796 4.615 0.000
-4.096 -2.355 2.607
Al Cu Cl
1 2 1
Direct
0.250 0.750 0.500
0.000 0.000 0.000
0.500 0.500 0.000
0.750 0.250 0.500
```